An optimized crystal structure of Pr3RhO6. Source: Alexandria via LeMat-Bulk, functional PBE-GGA.

Geometry as POSCAR:
```
Pr3RhO6
1.0
5.0824 2.9343 3.4405
-5.0824 2.9343 3.4405
0.0000 -5.8687 3.4405
Pr Rh O
6 2 12
Direct
0.0887 0.5989 0.7725
0.2275 0.9113 0.4011
0.4011 0.2275 0.9113
0.5989 0.7725 0.0887
0.7725 0.0887 0.5989
0.9113 0.4011 0.2275
0.0000 0.0000 0.0000
0.5000 0.5000 0.5000
0.0673 0.2936 0.9326
0.0674 0.9327 0.7064
0.1977 0.5636 0.4394
0.2936 0.9326 0.0673
0.4364 0.5606 0.8023
0.4394 0.1977 0.5636
0.5606 0.8023 0.4364
0.5636 0.4394 0.1977
0.7064 0.0674 0.9327
0.8023 0.4364 0.5606
0.9326 0.0673 0.2936
0.9327 0.7064 0.0674
```

Summary:
For the total energy, the calculation gives -155.67 eV/cell. The calculation puts the mass density at 6.706 g cm⁻³. As for the magnetization: 0.14 μB per cell.